1.
A plane-wave DFT calculation with PBE was carried out for HfTc2Sn2 after structural relaxation.

The structure in POSCAR format:
```
HfTc2Sn2
1.0
-2.1109 2.1109 5.7310
2.1109 -2.1109 5.7310
2.1109 2.1109 -5.7310
Hf Sn Tc
1 2 2
Direct
0.0000 0.0000 0.0000 Hf
0.3840 0.3840 0.0000 Sn
0.6160 0.6160 0.0000 Sn
0.7500 0.2500 0.5000 Tc
0.2500 0.7500 0.5000 Tc
```

relative energy among the computed polymorphs	0.42	eV/f.u.
crystal system	tetragonal
symmetry	I4/mmm (139)
theoretical density	9.95	Mg/m³

2.
A plane-wave DFT calculation with PBE was carried out for YHf2 after structural relaxation.

The structure in POSCAR format:
```
YHf2
1.0
5.6105 0.0000 0.0000
0.0000 5.6105 0.0000
0.0000 0.0000 5.5653
Hf Y
4 2
Direct
0.3351 0.3351 0.0000 Hf
0.6649 0.6649 0.0000 Hf
0.8351 0.1649 0.5000 Hf
0.1649 0.8351 0.5000 Hf
0.0000 0.0000 0.0000 Y
0.5000 0.5000 0.5000 Y
```

relative energy among the computed polymorphs	3.83	eV/f.u.
energy of formation	1404	meV per atom
crystal system	tetragonal
symmetry	P4_2/mnm (136)
theoretical density	8.45	Mg/m³

3.
A plane-wave DFT calculation with PBE was carried out for BaZnPt after structural relaxation.

The structure in POSCAR format:
```
BaZnPt
1.0
0.0000 3.6987 3.6987
3.6987 0.0000 3.6987
3.6987 3.6987 0.0000
Ba Pt Zn
1 1 1
Direct
0.0000 0.0000 0.0000 Ba
0.2500 0.2500 0.2500 Pt
0.7500 0.7500 0.7500 Zn
```

crystal system	cubic
symmetry	F-43m (216)
theoretical density	6.53	Mg/m³
raw total energy	-3.0024	eV/atom

4.
A plane-wave DFT calculation with PBE was carried out for LiDySc after structural relaxation.

The structure in POSCAR format:
```
LiDySc
1.0
0.0000 3.4346 3.4346
3.4346 0.0000 3.4346
3.4346 3.4346 0.0000
Dy Li Sc
1 1 1
Direct
0.2500 0.2500 0.2500 Dy
0.0000 0.0000 0.0000 Li
0.7500 0.7500 0.7500 Sc
```

relative energy among the computed polymorphs	0.00	eV/f.u.
crystal system	cubic
symmetry	F-43m (216)
theoretical density	4.39	Mg/m³

5.
A plane-wave DFT calculation with PBE was carried out for NbAlNO after structural relaxation.

The structure in POSCAR format:
```
NbAlNO
1.0
-1.5547 -2.6928 0.0000
0.0000 0.0000 5.1000
-5.1467 2.9715 0.0000
Al N Nb O
2 2 2 2
Direct
0.0000 0.5253 0.3662 Al
0.0000 0.0253 0.6338 Al
0.0000 0.8970 0.3398 N
0.0000 0.3970 0.6602 N
0.5000 0.9419 0.1031 Nb
0.5000 0.4419 0.8969 Nb
0.5000 0.3898 0.2615 O
0.5000 0.8898 0.7385 O
```

relative energy among the computed polymorphs	0.56	eV/f.u.
crystal system	orthorhombic
symmetry	Pmc2_1 (26)
theoretical density	5.28	Mg/m³

6.
A plane-wave DFT calculation with PBE was carried out for GdSi2NiOs after structural relaxation.

The structure in POSCAR format:
```
GdSi2NiOs
1.0
-1.9944 1.9944 5.0362
1.9944 -1.9944 5.0362
1.9944 1.9944 -5.0362
Gd Ni Os Si
1 1 1 2
Direct
0.0000 0.0000 0.0000 Gd
0.7500 0.2500 0.5000 Ni
0.2500 0.7500 0.5000 Os
0.3767 0.3767 0.0000 Si
0.6233 0.6233 0.0000 Si
```

crystal system	tetragonal
symmetry	I-4m2 (119)
theoretical density	9.58	Mg/m³
raw total energy	-7.2358	eV/atom

7.
A plane-wave DFT calculation with PBE was carried out for HoSiNi2 after structural relaxation.

The structure in POSCAR format:
```
HoSiNi2
1.0
3.9538 0.0000 0.0000
0.0000 5.8244 0.0000
0.0000 0.0000 5.3243
Ho Ni Si
2 4 2
Direct
0.0000 0.9063 0.1374 Ho
0.5000 0.0937 0.6374 Ho
0.5000 0.2872 0.1343 Ni
0.5000 0.6370 0.3771 Ni
0.0000 0.7128 0.6343 Ni
0.0000 0.3630 0.8771 Ni
0.0000 0.3922 0.3511 Si
0.5000 0.6078 0.8511 Si
```

crystal system	orthorhombic
symmetry	Pmn2_1 (31)
theoretical density	8.41	Mg/m³
raw total energy	-5.8996	eV/atom

8.
A plane-wave DFT calculation with PBE was carried out for LaGd2P3 after structural relaxation.

The structure in POSCAR format:
```
LaGd2P3
1.0
-2.4442 3.2845 -0.4778
-1.6339 -3.6654 0.9407
0.9193 2.1158 9.8407
Gd La P
2 1 3
Direct
0.6667 0.3333 0.1611 Gd
0.3333 0.6667 0.8389 Gd
0.0000 0.0000 0.5000 La
0.0000 0.0000 0.0000 P
0.3333 0.6667 0.3232 P
0.6667 0.3333 0.6768 P
```

crystal system	trigonal
symmetry	P-3m1 (164)
theoretical density	6.10	Mg/m³
raw total energy	-6.6643	eV/atom